18
Lattice="5.232 0.000 0.000 -2.616 4.531 0.000 0.000 0.000 9.757" Properties=species:S:1:pos:R:3 comment="CrSbTeO6 | Alexandria via LeMat-Bulk | PBE+U | relaxed" vol_a3_per_cell=231.3 energy_ev_per_atom=-6.279 relative_energy_mev_per_atom=32 pbc="T T T"
Cr 0.000 3.021 2.439
Cr 2.616 1.510 7.318
Sb 0.000 0.000 0.000
Sb 0.000 0.000 4.878
Te 0.000 3.021 7.318
Te 2.616 1.510 2.439
O -0.916 1.662 6.234
O -1.634 2.906 8.401
O 0.916 1.662 8.401
O -0.718 4.493 6.234
O 1.898 0.038 1.356
O 0.982 1.624 3.523
O 1.634 2.906 6.234
O 0.718 4.493 8.401
O 3.334 0.038 3.523
O 1.700 2.869 1.356
O 4.250 1.624 1.356
O 3.532 2.869 3.523